(1)
Compound: PmHfAg
Source: the Alexandria database
Functional: GGA-PBE
Structure: relaxed

Lattice parameters (Å, degrees): 3.4146 3.4146 12.5473 90.00 90.00 90.00
Last column: nearest neighbours and their distance in Å.
Space group I4mm (No. 107)
Unique sites:
Pm  0.0000  0.0000  0.0000 [2 per cell]  4 Hf 3.33, 4 Ag 3.35, 4 Pm 3.41
Hf  0.0000  0.0000  0.3177 [2 per cell]  4 Ag 2.93
Ag  0.0000  0.0000  0.6848 [2 per cell]  4 Hf 2.93

Results
Relative energy among the computed polymorphs = 0.00 kJ per mole of atoms
Raw total energy = -5.861 eV per atom
ΔH_f (0 K) = -0.009 eV per atom
Magnetization = 0.0000 μB per atom
N(E_F) = 8.58 states/eV per cell
Mass density = 9.79 g/cm3

(2)
Compound: ScMnMo2
Source: the Alexandria database
Functional: GGA-PBE
Structure: relaxed

Lattice parameters (Å, degrees): 2.9332 2.9332 26.0434 90.00 90.00 120.00
Last column: nearest neighbours and their distance in Å.
Space group R3m (No. 160, hexagonal axes)
Unique sites:
Sc  0.0000  0.0000  0.0000 [3 per cell]  3 Mn 2.77, 6 Sc 2.93, 3 Mo 2.97
Mn  0.0000  0.0000  0.2490 [3 per cell]  3 Mo 2.48, 3 Sc 2.77
Mo  0.0000  0.0000  0.5128 [3 per cell]  3 Mn 2.48
Mo  0.0000  0.0000  0.7602 [3 per cell]  9 Mo 2.81-2.93, 3 Sc 2.97

Results
Relative energy among the computed polymorphs = 31.15 kJ per mole of atoms
Raw total energy = -8.917 eV per atom
ΔH_f (0 K) = 0.373 eV per atom
Magnetization = 0.1679 μB per atom
N(E_F) = 13.45 states/eV per cell
Mass density = 7.49 g/cm3

(3)
Compound: MnTe3
Source: the Alexandria database
Functional: GGA-PBE
Structure: relaxed

Lattice parameters (Å, degrees): 3.1626 3.1626 10.5458 90.00 90.00 90.00
Last column: nearest neighbours and their distance in Å.
Space group P4/mmm (No. 123)
Unique sites:
Mn  0.0000  0.0000  0.0000 [1 per cell]  8 Te 2.77
Te  0.0000  0.0000  0.5000 [1 per cell]  4 Te 3.16
Te  0.5000  0.5000  0.1556 [2 per cell]  4 Mn 2.77

Results
Raw total energy = -4.502 eV per atom
Magnetization = 0.3708 μB per atom
Uncorrected formation energy = 0.147 eV per atom
N(E_F) = 3.55 states/eV per cell
Mass density = 6.89 g/cm3

(4)
Compound: ZnSi2Se6
Source: the Alexandria database
Functional: GGA-PBE
Structure: relaxed

Lattice parameters (Å, degrees): 11.1422 13.7740 6.6021 90.00 111.04 90.00
Last column: nearest neighbours and their distance in Å.
Space group C2/c (No. 15)
Unique sites:
Zn  0.0000  0.2062  0.2500 [4 per cell]  4 Se 2.46-2.60
Si  0.2155  0.4384  0.3812 [8 per cell]  4 Se 2.25-2.36
Se  0.0642  0.0797  0.5627 [8 per cell]  1 Si 2.36, 1 Se 2.59, 1 Zn 2.60
Se  0.1505  0.4219  0.6770 [8 per cell]  2 Si 2.31-2.33
Se  0.1728  0.2995  0.1894 [8 per cell]  1 Si 2.25, 1 Zn 2.46

Results
Raw total energy = -3.983 eV per atom
Magnetization = 0.0000 μB per atom
Uncorrected formation energy = -0.313 eV per atom
Mass density = 4.18 g/cm3

(5)
Compound: LiHoAgRh
Source: the Alexandria database
Functional: GGA-PBE
Structure: relaxed

Lattice parameters (Å, degrees): 6.6611 6.6611 6.6611 90.00 90.00 90.00
Last column: nearest neighbours and their distance in Å.
Space group F-43m (No. 216)
Unique sites:
Li  0.0000  0.0000  0.0000 [4 per cell]  4 Rh 2.88, 4 Ag 2.88
Ho  0.0000  0.0000  0.5000 [4 per cell]  4 Rh 2.88, 4 Ag 2.88
Ag  0.2500  0.2500  0.7500 [4 per cell]  4 Li 2.88, 4 Ho 2.88
Rh  0.2500  0.2500  0.2500 [4 per cell]  4 Li 2.88, 4 Ho 2.88

Results
Raw total energy = -4.542 eV per atom
ΔH_f (0 K) = -0.368 eV per atom
Magnetization = 0.0000 μB per atom
N(E_F) = 1.14 states/eV per cell
Mass density = 8.60 g/cm3

(6)
Compound: LiTlSnO4
Source: the Alexandria database
Functional: GGA-PBE
Structure: relaxed

Lattice parameters (Å, degrees): 6.3682 6.6474 9.3357 90.00 90.00 90.00
Last column: nearest neighbours and their distance in Å.
Space group Imma (No. 74)
Unique sites:
Li  0.0000  0.2500  0.1070 [4 per cell]  2 O 2.04
Tl  0.0000  0.0000  0.5000 [4 per cell]  6 O 2.28-2.34
Sn  0.2500  0.2500  0.7500 [4 per cell]  6 O 2.11-2.14
O  0.0000  0.0353  0.7496 [8 per cell]  2 Sn 2.14, 1 Li 2.32, 1 Tl 2.34
O  0.2436  0.2500  0.5242 [8 per cell]  1 Li 2.04, 1 Sn 2.11, 2 Tl 2.28

Results
Raw total energy = -5.389 eV per atom
Magnetization = 0.0000 μB per atom
Uncorrected formation energy = -1.372 eV per atom
Mass density = 6.62 g/cm3

Which value of raw total energy does entry 6 give?
-5.389 eV per atom

The lowest raw total energy belongs to which entry?
ScMnMo2